1.
## Ir2PbCl (PBE-GGA)

Data for a geometry-optimized Ir2PbCl structure.

Its formation energy without anion corrections is 98.80 kJ/mol of atoms. The total magnetization comes out at 0.00 μB per atom. The value obtained for the polymorph energy (0 for the lowest one) is 0.826 eV per atom. Its density of states at the Fermi level is 1.24 states/eV/atom.

The structure belongs to space group Cmmm (No. 65); the cell edges are 6.186, 7.482 and 3.118 Å and the angles 90.00°, 90.00° and 90.00°. The inequivalent atoms are Ir at (0.250, 0.250, 0.000), Pb at (0.000, 0.000, 0.500) and Cl at (0.000, 0.500, 0.500).

2.
## SrTl2Te (PBE-GGA)

Data for a geometry-optimized SrTl2Te structure.

Its formation energy without anion corrections is -30.65 kJ/mol of atoms. The total magnetization comes out at 0.00 μB per atom. The value obtained for the polymorph energy (0 for the lowest one) is 0.327 eV per atom. Its density of states at the Fermi level is 0.61 states/eV/atom.

The structure belongs to space group Fm-3m (No. 225); the cell edges are 8.107, 8.107 and 8.107 Å and the angles 90.00°, 90.00° and 90.00°. The inequivalent atoms are Sr at (0.000, 0.000, 0.000), Tl at (0.250, 0.250, 0.250) and Te at (0.000, 0.000, 0.500).

3.
## CePbCl5 (PBE-GGA)

Data for a geometry-optimized CePbCl5 structure.

Its formation energy without anion corrections is -164.53 kJ/mol of atoms. The total magnetization comes out at 0.14 μB per atom. Its density of states at the Fermi level is 1.15 states/eV/atom.

The structure belongs to space group C2/c (No. 15); the cell edges are 7.516, 13.279 and 9.901 Å and the angles 90.00°, 97.73° and 90.00°. The inequivalent atoms are Ce at (0.000, 0.000, 0.000), Pb at (0.000, 0.466, 0.250), Cl at (0.000, 0.097, 0.250), Cl at (0.172, 0.406, 0.006) and Cl at (0.210, 0.149, 0.635).

4.
## GdHoSiNi (PBE-GGA)

Data for a geometry-optimized GdHoSiNi structure.

Its formation energy without anion corrections is -45.16 kJ/mol of atoms. The total magnetization comes out at 1.77 μB per atom. Its density of states at the Fermi level is 0.40 states/eV/atom.

The structure belongs to space group F-43m (No. 216); the cell edges are 6.925, 6.925 and 6.925 Å and the angles 90.00°, 90.00° and 90.00°. The inequivalent atoms are Gd at (0.000, 0.000, 0.000), Ho at (0.000, 0.000, 0.500), Si at (0.250, 0.250, 0.250) and Ni at (0.250, 0.250, 0.750).

5.
## BeGePCl2 (PBE-GGA)

Data for a geometry-optimized BeGePCl2 structure.

Its formation energy without anion corrections is 3.20 kJ/mol of atoms. The total magnetization comes out at 0.00 μB per atom. The value obtained for the polymorph energy (0 for the lowest one) is 0.000 eV per atom. Its density of states at the Fermi level is 0.36 states/eV/atom.

The structure belongs to space group P4/mmm (No. 123); the cell edges are 4.286, 4.286 and 4.973 Å and the angles 90.00°, 90.00° and 90.00°. The inequivalent atoms are Be at (0.000, 0.000, 0.000), Ge at (0.500, 0.500, 0.500), P at (0.000, 0.000, 0.500) and Cl at (0.000, 0.500, 0.000).

6.
## Y3NpRu3 (PBE-GGA)

Data for a geometry-optimized Y3NpRu3 structure.

The total magnetization comes out at 0.30 μB per atom. Its density of states at the Fermi level is 1.26 states/eV/atom. The value obtained for the energy of formation from the pure elements is -208 meV/atom.

The structure belongs to space group C2/m (No. 12); the cell edges are 11.990, 3.998 and 14.475 Å and the angles 90.00°, 113.68° and 90.00°. The inequivalent atoms are Y at (0.033, 0.000, 0.297), Y at (0.129, 0.500, 0.136), Y at (0.179, 0.000, 0.571), Np at (0.167, 0.500, 0.896), Ru at (0.039, 0.500, 0.431), Ru at (0.085, 0.000, 0.959) and Ru at (0.179, 0.500, 0.742).

Please write out number 1 again, unchanged.
## Ir2PbCl (PBE-GGA)

Data for a geometry-optimized Ir2PbCl structure.

Its formation energy without anion corrections is 98.80 kJ/mol of atoms. The total magnetization comes out at 0.00 μB per atom. The value obtained for the polymorph energy (0 for the lowest one) is 0.826 eV per atom. Its density of states at the Fermi level is 1.24 states/eV/atom.

The structure belongs to space group Cmmm (No. 65); the cell edges are 6.186, 7.482 and 3.118 Å and the angles 90.00°, 90.00° and 90.00°. The inequivalent atoms are Ir at (0.250, 0.250, 0.000), Pb at (0.000, 0.000, 0.500) and Cl at (0.000, 0.500, 0.500).